Compound: SmDyZnTc
Source: the Alexandria database
Functional: PBE
Structure: optimized geometry

Mass density: 9.083 g cm⁻³
Fermi-level density of states: 7.3 states/eV/cell
Magnetic moment: 0.0 μB per cell
Energy of formation from the pure elements: -0.104 eV per atom
E_tot: -5.344 eV/atom

Cell and atoms, written as CIF:
```
data_SmDyZnTc
_chemical_formula_sum 'Sm4 Dy4 Zn4 Tc4'
_space_group_name_H-M_alt 'F -4 3 m'
_space_group_IT_number 216
_space_group_name_Hall 'F -4 2 3'
_cell_length_a 7.0359
_cell_length_b 7.0359
_cell_length_c 7.0359
_cell_angle_alpha 90.00
_cell_angle_beta 90.00
_cell_angle_gamma 90.00
loop_
_atom_site_label
_atom_site_fract_x
_atom_site_fract_y
_atom_site_fract_z
Sm1 0.0000 0.0000 0.0000
Dy1 0.0000 0.0000 0.5000
Zn1 0.2500 0.2500 0.2500
Tc1 0.2500 0.2500 0.7500
```



Compound: Na3Cd3Pb2
Source: the Alexandria database
Functional: PBE
Structure: optimized geometry

Mass density: 6.073 g cm⁻³
Fermi-level density of states: 13.5 states/eV/cell
Magnetic moment: 0.0 μB per cell
Energy of formation from the pure elements: -0.071 eV per atom
E_tot: -1.835 eV/atom

Cell and atoms, written as CIF:
```
data_Na3Cd3Pb2
_chemical_formula_sum 'Na12 Cd12 Pb8'
_space_group_name_H-M_alt 'C m c m'
_space_group_IT_number 63
_space_group_name_Hall '-C 2c 2'
_cell_length_a 5.1007
_cell_length_b 11.7819
_cell_length_c 14.9347
_cell_angle_alpha 90.00
_cell_angle_beta 90.00
_cell_angle_gamma 90.00
loop_
_atom_site_label
_atom_site_fract_x
_atom_site_fract_y
_atom_site_fract_z
Na1 0.0000 0.0672 0.1037
Na2 0.0000 0.2906 0.2500
Cd1 0.0000 0.4127 0.0681
Cd2 0.0000 0.4331 0.7500
Pb1 0.0000 0.2368 0.5947
```



Compound: Ho4ScBi2
Source: the Alexandria database
Functional: PBE
Structure: optimized geometry

Mass density: 8.378 g cm⁻³
Fermi-level density of states: 12.0 states/eV/cell
Magnetic moment: 0.0 μB per cell
Energy of formation from the pure elements: 0.179 eV per atom
E_tot: -4.450 eV/atom

Cell and atoms, written as CIF:
```
data_Ho4ScBi2
_chemical_formula_sum 'Ho8 Sc2 Bi4'
_space_group_name_H-M_alt 'I 4/m m m'
_space_group_IT_number 139
_space_group_name_Hall '-I 4 2'
_cell_length_a 5.1680
_cell_length_b 5.1680
_cell_length_c 16.6622
_cell_angle_alpha 90.00
_cell_angle_beta 90.00
_cell_angle_gamma 90.00
loop_
_atom_site_label
_atom_site_fract_x
_atom_site_fract_y
_atom_site_fract_z
Ho1 0.0000 0.0000 0.1786
Ho2 0.0000 0.5000 0.0000
Sc1 0.0000 0.0000 0.0000
Bi1 0.0000 0.0000 0.3632
```



Compound: KCrIn2Cl8
Source: the Alexandria database
Functional: PBE
Structure: optimized geometry

Uncorrected formation energy: -12.83 eV per formula unit
Mass density: 2.936 g cm⁻³
Fermi-level density of states: 6.4 states/eV/cell
Magnetic moment: 3.2 μB per cell
E_tot: -3.650 eV/atom

Cell and atoms, written as CIF:
```
data_KCrIn2Cl8
_chemical_formula_sum 'K3 Cr3 In6 Cl24'
_space_group_name_H-M_alt 'R -3'
_space_group_IT_number 148
_space_group_name_Hall '-R 3'
_cell_length_a 6.7280
_cell_length_b 6.7280
_cell_length_c 26.1575
_cell_angle_alpha 90.00
_cell_angle_beta 90.00
_cell_angle_gamma 120.00
loop_
_atom_site_label
_atom_site_fract_x
_atom_site_fract_y
_atom_site_fract_z
K1 0.0000 0.0000 0.0000
Cr1 0.0000 0.0000 0.5000
In1 0.0000 0.0000 0.2169
Cl1 0.0000 0.0000 0.3117
Cl2 0.0176 0.5972 0.2172
```



Compound: Zr2NO
Source: the Alexandria database
Functional: PBE
Structure: optimized geometry

Uncorrected formation energy: -7.06 eV per formula unit
Mass density: 5.632 g cm⁻³
Fermi-level density of states: 7.5 states/eV/cell
Magnetic moment: 0.0 μB per cell
E above lowest polymorph: 0.252 eV per atom
E_tot: -9.360 eV/atom

Cell and atoms, written as CIF:
```
data_Zr2NO
_chemical_formula_sum 'Zr8 N4 O4'
_space_group_name_H-M_alt 'I -4 2 d'
_space_group_IT_number 122
_space_group_name_Hall 'I -4 2bw'
_cell_length_a 5.0041
_cell_length_b 5.0041
_cell_length_c 10.0056
_cell_angle_alpha 90.00
_cell_angle_beta 90.00
_cell_angle_gamma 90.00
loop_
_atom_site_label
_atom_site_fract_x
_atom_site_fract_y
_atom_site_fract_z
Zr1 0.2416 0.2500 0.1250
N1 0.0000 0.0000 0.0000
O1 0.0000 0.0000 0.5000
```



Compound: Mg2ScSi
Source: the Alexandria database
Functional: PBE
Structure: optimized geometry

Uncorrected formation energy: -0.38 eV per formula unit
Mass density: 2.426 g cm⁻³
Fermi-level density of states: 4.6 states/eV/cell
Magnetic moment: 0.0 μB per cell
E_tot: -3.830 eV/atom

Cell and atoms, written as CIF:
```
data_Mg2ScSi
_chemical_formula_sum 'Mg4 Sc2 Si2'
_space_group_name_H-M_alt 'C 1 m 1'
_space_group_IT_number 8
_space_group_name_Hall 'C -2y'
_cell_length_a 10.3727
_cell_length_b 3.1671
_cell_length_c 5.5923
_cell_angle_alpha 90.00
_cell_angle_beta 114.97
_cell_angle_gamma 90.00
loop_
_atom_site_label
_atom_site_fract_x
_atom_site_fract_y
_atom_site_fract_z
Mg1 0.0000 0.0000 0.0000
Mg2 0.2245 0.0000 0.8265
Sc1 0.4397 0.0000 0.4476
Si1 0.2060 0.5000 0.3984
```



Compound: NaNdAgCl5
Source: the Alexandria database
Functional: PBE
Structure: optimized geometry

Uncorrected formation energy: -13.37 eV per formula unit
Mass density: 2.999 g cm⁻³
Fermi-level density of states: 0.0 states/eV/cell
Magnetic moment: 0.0 μB per cell
E_tot: -3.943 eV/atom

Cell and atoms, written as CIF:
```
data_NaNdAgCl5
_chemical_formula_sum 'Na4 Nd4 Ag4 Cl20'
_space_group_name_H-M_alt 'C 1 2/c 1'
_space_group_IT_number 15
_space_group_name_Hall '-C 2yc'
_cell_length_a 8.0407
_cell_length_b 13.1673
_cell_length_c 10.0846
_cell_angle_alpha 90.00
_cell_angle_beta 110.23
_cell_angle_gamma 90.00
loop_
_atom_site_label
_atom_site_fract_x
_atom_site_fract_y
_atom_site_fract_z
Na1 0.0000 0.0767 0.2500
Nd1 0.0000 0.5000 0.0000
Ag1 0.0000 0.2117 0.7500
Cl1 0.0000 0.4132 0.2500
Cl2 0.1647 0.0778 0.9470
Cl3 0.1747 0.3315 0.6409
```



Compound: LuHfTh2
Source: the Alexandria database
Functional: PBE
Structure: optimized geometry

Mass density: 11.681 g cm⁻³
Fermi-level density of states: 5.8 states/eV/cell
Magnetic moment: 0.0 μB per cell
E above lowest polymorph: 0.000 eV per atom
Energy of formation from the pure elements: 0.102 eV per atom
E_tot: -7.226 eV/atom

Cell and atoms, written as CIF:
```
data_LuHfTh2
_chemical_formula_sum 'Lu1 Hf1 Th2'
_space_group_name_H-M_alt 'P 4/m m m'
_space_group_IT_number 123
_space_group_name_Hall '-P 4 2'
_cell_length_a 3.4854
_cell_length_b 3.4854
_cell_length_c 9.5669
_cell_angle_alpha 90.00
_cell_angle_beta 90.00
_cell_angle_gamma 90.00
loop_
_atom_site_label
_atom_site_fract_x
_atom_site_fract_y
_atom_site_fract_z
Lu1 0.0000 0.0000 0.0000
Hf1 0.0000 0.0000 0.5000
Th1 0.5000 0.5000 0.2629
```